Version 1
Density functional theory data (SCAN) for AlMoCl2 at its PBEsol-relaxed geometry.

Unit cell a=3.126 b=5.008 c=5.183 alpha=117.82 beta=105.97 gamma=93.14
Site moments in Bohr magnetons follow the coordinates.
Positions (direct):
Mo1 0.500 0.500 0.000  2.04
Al1 0.000 0.000 0.000  -0.04
Cl1 0.500 0.500 0.500  0.02
Cl2 0.000 0.000 0.500  0.02

**Total magnetization**: 0.547 μB per atom

---

Version 2
Density functional theory data (SCAN) for AlMoCl2 at its PBEsol-relaxed geometry.

Unit cell a=2.962 b=2.962 c=8.288 alpha=90.00 beta=90.00 gamma=90.00
Site moments in Bohr magnetons follow the coordinates.
Positions (direct):
Mo1 0.500 0.500 0.000  0.94
Al1 0.500 0.500 0.500  0.00
Cl1 0.000 0.000 0.821  -0.01
Cl2 0.000 0.000 0.179  -0.01

**Total magnetization**: 0.266 μB per atom

---

Least stable of them? version 2.